1.
PmSmEuTh | Alexandria | GGA-PBE | relaxed; space-group type = F-43m (216); density = 8.10 g cm⁻³; raw total energy = -26.3 eV per cell; energy of formation from the pure elements = 22 kJ per mole of atoms
1.0
0.0000 4.1133 4.1133
4.1133 0.0000 4.1133
4.1133 4.1133 0.0000
Pm Sm Eu Th
1 1 1 1
direct
0.0000 0.0000 0.0000
0.5000 0.5000 0.5000
0.2500 0.2500 0.2500
0.7500 0.7500 0.7500

2.
BTeRhAu | Alexandria | GGA-PBE | relaxed; space-group type = Cm (8); formation energy without anion corrections = 0.093 eV per atom; density = 10.82 g cm⁻³; relative energy among the computed polymorphs = 13 meV per atom; raw total energy = -20.1 eV per cell
1.0
3.0477 -1.7701 0.0000
3.0477 1.7701 0.0000
-2.0435 0.0000 6.2353
B Te Rh Au
1 1 1 1
direct
0.0000 0.0000 0.0000
0.4732 0.4732 0.4290
0.7001 0.7001 0.1019
0.2587 0.2587 0.7858

3.
ZnH5Rh4 | Alexandria | GGA-PBE | relaxed; space-group type = Pmmn (59); density = 8.69 g cm⁻³; raw total energy = -93.6 eV per cell
1.0
5.4388 0.0000 0.0000
0.0000 7.6286 0.0000
0.0000 0.0000 4.4411
Zn H Rh
2 10 8
direct
0.2500 0.2500 0.1237
0.7500 0.7500 0.8763
0.0473 0.5460 0.2209
0.0473 0.9540 0.2209
0.2500 0.7500 0.6437
0.4527 0.5460 0.2209
0.4527 0.9540 0.2209
0.5473 0.0460 0.7791
0.5473 0.4540 0.7791
0.7500 0.2500 0.3563
0.9527 0.0460 0.7791
0.9527 0.4540 0.7791
0.0049 0.2500 0.6081
0.2500 0.5522 0.8822
0.2500 0.9478 0.8822
0.4951 0.2500 0.6081
0.5049 0.7500 0.3919
0.7500 0.0522 0.1178
0.7500 0.4478 0.1178
0.9951 0.7500 0.3919